Here is an optimized crystal structure of HfCoPO from OQMD via LeMat-Bulk. Energies are from PBE with a Hubbard U.

Unit cell a=4.2190 b=4.2190 c=8.3564 alpha=90.00 beta=90.00 gamma=90.00
Element x y z (fractional)
P (0.2500, 0.2500, 0.6654)
O (0.7500, 0.2500, 0.0000)
Hf (0.7500, 0.2500, 0.5000)
Co (0.2500, 0.2500, 0.9946)
O (0.2500, 0.7500, 0.0000)
Hf (0.2500, 0.7500, 0.5000)
P (0.7500, 0.7500, 0.3346)
Co (0.7500, 0.7500, 0.0054)

symmetry	P4/nmm, No. 129
E	-6.707	eV per atom
crystal system	tetragonal
distance to the lowest polymorph of the same formula	1186	meV/atom